A crystal of TaBSe3 relaxed with PBEsol. Source: Alexandria, functional SCAN.

Lattice parameters (Å, degrees): 4.9610 4.9610 4.9610 90.00 90.00 90.00
Atoms (fractional coordinates):
B 0.5000 0.5000 0.5000
Se 0.0000 0.5000 0.0000
Se 0.5000 0.0000 0.0000
Se 0.0000 0.0000 0.5000
Ta 0.0000 0.0000 0.0000

Properties
**Formation energy from raw total energies**: 0.756 eV/atom
**Energy**: -130.5 eV/cell
**DOS(E_F)**: 2.0 states/eV/f.u.